[1]
A relaxed Tb3Nd2Er4 crystal, computed with PBE-GGA.

Cell: 10.0111 10.0111 6.1207 Å, 95.09 95.09 70.66°
Closest atoms and distances in Å follow each position.
Positions (direct):
Tb (0.0982, 0.9018, 0.7500)  4 Nd 3.45-3.51, 4 Er 3.49-3.56, 2 Tb 3.81
Tb (0.2381, 0.4336, 0.9004)  7 Er 3.34-3.73, 2 Nd 3.47-3.49
Tb (0.4336, 0.2381, 0.4004)  7 Er 3.34-3.73, 2 Nd 3.47-3.49
Tb (0.5664, 0.7619, 0.5996)  7 Er 3.34-3.73, 2 Nd 3.47-3.49
Tb (0.7619, 0.5664, 0.0996)  7 Er 3.34-3.73, 2 Nd 3.47-3.49
Tb (0.9018, 0.0982, 0.2500)  4 Nd 3.45-3.51, 4 Er 3.49-3.56, 2 Tb 3.81
Nd (0.0200, 0.7327, 0.1775)  4 Er 3.30-3.60, 4 Tb 3.45-3.51
Nd (0.2673, 0.9800, 0.3225)  4 Er 3.30-3.60, 4 Tb 3.45-3.51
Nd (0.7327, 0.0200, 0.6775)  4 Er 3.30-3.60, 4 Tb 3.45-3.51
Nd (0.9800, 0.2673, 0.8225)  4 Er 3.30-3.60, 4 Tb 3.45-3.51
Er (0.0790, 0.3553, 0.3489)  1 Er 3.29, 4 Tb 3.34-3.56, 3 Nd 3.41-3.60
Er (0.3143, 0.5935, 0.4836)  1 Nd 3.30, 4 Tb 3.36-3.49, 3 Er 3.37-3.56
Er (0.3553, 0.0790, 0.8489)  1 Er 3.29, 4 Tb 3.34-3.56, 3 Nd 3.41-3.60
Er (0.4065, 0.6857, 0.0164)  1 Nd 3.30, 4 Tb 3.36-3.49, 3 Er 3.37-3.56
Er (0.5935, 0.3143, 0.9836)  1 Nd 3.30, 4 Tb 3.36-3.49, 3 Er 3.37-3.56
Er (0.6447, 0.9210, 0.1511)  1 Er 3.29, 4 Tb 3.34-3.56, 3 Nd 3.41-3.60
Er (0.6857, 0.4065, 0.5164)  1 Nd 3.30, 4 Tb 3.36-3.49, 3 Er 3.37-3.56
Er (0.9210, 0.6447, 0.6511)  1 Er 3.29, 4 Tb 3.34-3.56, 3 Nd 3.41-3.60

Output
- ΔH_f (0 K): 0.096 eV/atom
- N(E_F): 1.38 states/eV per atom
- M_tot: 0.000 μB per cell
- Mass density: 8.28 g cm⁻³
- Energy above the most stable polymorph in this dataset: 78 meV/atom

***

[2]
A relaxed Tb3Nd2Er8 crystal, computed with PBE-GGA.

Cell: 11.0064 11.0064 5.5154 Å, 90.00 90.00 139.63°
Closest atoms and distances in Å follow each position.
Positions (direct):
Tb (0.0000, 0.0000, 0.0000)  4 Er 3.11
Tb (0.2882, 0.2882, 0.5000)  3 Tb 3.22-3.52, 6 Er 3.44-3.54
Tb (0.7118, 0.7118, 0.5000)  3 Tb 3.22-3.52, 6 Er 3.44-3.54
Nd (0.2406, 0.7594, 0.0000)  8 Er 3.42-3.60, 2 Nd 3.82
Nd (0.7594, 0.2406, 0.0000)  8 Er 3.42-3.60, 2 Nd 3.82
Er (0.1285, 0.8715, 0.5000)  4 Tb 3.44-3.83, 4 Er 3.54, 2 Nd 3.60
Er (0.1799, 0.3942, 0.0000)  1 Tb 3.11, 3 Er 3.24-3.39
Er (0.3384, 0.6616, 0.5000)  4 Er 3.39, 2 Nd 3.42, 2 Tb 3.71
Er (0.3942, 0.1799, 0.0000)  1 Tb 3.11, 3 Er 3.24-3.39
Er (0.6058, 0.8201, 0.0000)  1 Tb 3.11, 3 Er 3.24-3.39
Er (0.6616, 0.3384, 0.5000)  4 Er 3.39, 2 Nd 3.42, 2 Tb 3.71
Er (0.8201, 0.6058, 0.0000)  1 Tb 3.11, 3 Er 3.24-3.39
Er (0.8715, 0.1285, 0.5000)  4 Tb 3.44-3.83, 4 Er 3.54, 2 Nd 3.60

Output
- ΔH_f (0 K): 0.247 eV/atom
- N(E_F): 1.72 states/eV per atom
- M_tot: 0.000 μB per cell
- Mass density: 8.07 g cm⁻³

***

[3]
A relaxed TbNd5Er4 crystal, computed with PBE-GGA.

Cell: 3.5585 9.3438 10.9016 Å, 76.12 89.94 79.17°
Closest atoms and distances in Å follow each position.
Positions (direct):
Tb (0.0000, 0.0000, 0.0000)  6 Er 3.26-3.52, 2 Tb 3.56
Nd (0.0000, 0.0000, 0.5000)  4 Er 3.32, 6 Nd 3.53-3.56
Nd (0.3334, 0.3393, 0.4727)  2 Er 3.41-3.44, 6 Nd 3.53-3.63
Nd (0.3406, 0.3192, 0.0914)  4 Er 3.48-3.76, 4 Nd 3.56-3.87, 2 Tb 3.76-3.77
Nd (0.6594, 0.6808, 0.9086)  4 Er 3.48-3.76, 4 Nd 3.56-3.87, 2 Tb 3.76-3.77
Nd (0.6666, 0.6607, 0.5273)  2 Er 3.41-3.44, 6 Nd 3.53-3.63
Er (0.1745, 0.6464, 0.2179)  4 Er 3.37-3.56, 4 Nd 3.44-3.76, 1 Tb 3.52
Er (0.4715, 0.0564, 0.7417)  2 Tb 3.26-3.27, 4 Nd 3.32-3.48, 4 Er 3.37-3.56
Er (0.5285, 0.9436, 0.2583)  2 Tb 3.26-3.27, 4 Nd 3.32-3.48, 4 Er 3.37-3.56
Er (0.8255, 0.3536, 0.7821)  4 Er 3.37-3.56, 4 Nd 3.44-3.76, 1 Tb 3.52

Output
- ΔH_f (0 K): 0.204 eV/atom
- N(E_F): 1.62 states/eV per atom
- M_tot: 0.000 μB per cell
- Mass density: 7.45 g cm⁻³
- Energy above the most stable polymorph in this dataset: 59 meV/atom

***

[4]
A relaxed Tb2Nd5Er3 crystal, computed with PBE-GGA.

Cell: 9.1794 9.1794 10.0295 Å, 108.21 108.21 108.46°
Closest atoms and distances in Å follow each position.
Positions (direct):
Tb (0.0328, 0.2757, 0.0572)  3 Er 3.27-3.48, 4 Nd 3.41-3.53
Tb (0.2757, 0.0328, 0.5572)  3 Er 3.27-3.48, 4 Nd 3.41-3.53
Tb (0.7243, 0.9672, 0.4428)  3 Er 3.27-3.48, 4 Nd 3.41-3.53
Tb (0.9672, 0.7243, 0.9428)  3 Er 3.27-3.48, 4 Nd 3.41-3.53
Nd (0.1274, 0.3681, 0.7462)  3 Nd 3.42-3.50, 3 Er 3.42-3.77, 2 Tb 3.72-3.75
Nd (0.2289, 0.7711, 0.7500)  3 Er 3.08-3.40
Nd (0.2695, 0.7305, 0.2500)  3 Nd 3.12-3.48, 2 Tb 3.41
Nd (0.3681, 0.1274, 0.2462)  3 Nd 3.42-3.50, 3 Er 3.42-3.77, 2 Tb 3.72-3.75
Nd (0.4787, 0.5213, 0.2500)  3 Nd 3.12-3.42, 2 Er 3.39, 2 Tb 3.47
Nd (0.5213, 0.4787, 0.7500)  3 Nd 3.12-3.42, 2 Er 3.39, 2 Tb 3.47
Nd (0.6319, 0.8726, 0.7538)  3 Nd 3.42-3.50, 3 Er 3.42-3.77, 2 Tb 3.72-3.75
Nd (0.7305, 0.2695, 0.7500)  3 Nd 3.12-3.48, 2 Tb 3.41
Nd (0.7711, 0.2289, 0.2500)  3 Er 3.08-3.40
Nd (0.8726, 0.6319, 0.2538)  3 Nd 3.42-3.50, 3 Er 3.42-3.77, 2 Tb 3.72-3.75
Er (0.0224, 0.9776, 0.7500)  3 Nd 3.08-3.42, 2 Tb 3.37
Er (0.2217, 0.4703, 0.4427)  1 Tb 3.27, 5 Nd 3.39-3.52, 1 Er 3.49
Er (0.4703, 0.2217, 0.9427)  1 Tb 3.27, 5 Nd 3.39-3.52, 1 Er 3.49
Er (0.5297, 0.7783, 0.0573)  1 Tb 3.27, 5 Nd 3.39-3.52, 1 Er 3.49
Er (0.7783, 0.5297, 0.5573)  1 Tb 3.27, 5 Nd 3.39-3.52, 1 Er 3.49
Er (0.9776, 0.0224, 0.2500)  3 Nd 3.08-3.42, 2 Tb 3.37

Output
- ΔH_f (0 K): 0.182 eV/atom
- N(E_F): 1.78 states/eV per atom
- M_tot: 0.002 μB per cell
- Mass density: 7.55 g cm⁻³
- Energy above the most stable polymorph in this dataset: 0 meV/atom

***

What did the first record say?
A relaxed Tb3Nd2Er4 crystal, computed with PBE-GGA.

Cell: 10.0111 10.0111 6.1207 Å, 95.09 95.09 70.66°
Closest atoms and distances in Å follow each position.
Positions (direct):
Tb (0.0982, 0.9018, 0.7500)  4 Nd 3.45-3.51, 4 Er 3.49-3.56, 2 Tb 3.81
Tb (0.2381, 0.4336, 0.9004)  7 Er 3.34-3.73, 2 Nd 3.47-3.49
Tb (0.4336, 0.2381, 0.4004)  7 Er 3.34-3.73, 2 Nd 3.47-3.49
Tb (0.5664, 0.7619, 0.5996)  7 Er 3.34-3.73, 2 Nd 3.47-3.49
Tb (0.7619, 0.5664, 0.0996)  7 Er 3.34-3.73, 2 Nd 3.47-3.49
Tb (0.9018, 0.0982, 0.2500)  4 Nd 3.45-3.51, 4 Er 3.49-3.56, 2 Tb 3.81
Nd (0.0200, 0.7327, 0.1775)  4 Er 3.30-3.60, 4 Tb 3.45-3.51
Nd (0.2673, 0.9800, 0.3225)  4 Er 3.30-3.60, 4 Tb 3.45-3.51
Nd (0.7327, 0.0200, 0.6775)  4 Er 3.30-3.60, 4 Tb 3.45-3.51
Nd (0.9800, 0.2673, 0.8225)  4 Er 3.30-3.60, 4 Tb 3.45-3.51
Er (0.0790, 0.3553, 0.3489)  1 Er 3.29, 4 Tb 3.34-3.56, 3 Nd 3.41-3.60
Er (0.3143, 0.5935, 0.4836)  1 Nd 3.30, 4 Tb 3.36-3.49, 3 Er 3.37-3.56
Er (0.3553, 0.0790, 0.8489)  1 Er 3.29, 4 Tb 3.34-3.56, 3 Nd 3.41-3.60
Er (0.4065, 0.6857, 0.0164)  1 Nd 3.30, 4 Tb 3.36-3.49, 3 Er 3.37-3.56
Er (0.5935, 0.3143, 0.9836)  1 Nd 3.30, 4 Tb 3.36-3.49, 3 Er 3.37-3.56
Er (0.6447, 0.9210, 0.1511)  1 Er 3.29, 4 Tb 3.34-3.56, 3 Nd 3.41-3.60
Er (0.6857, 0.4065, 0.5164)  1 Nd 3.30, 4 Tb 3.36-3.49, 3 Er 3.37-3.56
Er (0.9210, 0.6447, 0.6511)  1 Er 3.29, 4 Tb 3.34-3.56, 3 Nd 3.41-3.60

Output
- ΔH_f (0 K): 0.096 eV/atom
- N(E_F): 1.38 states/eV per atom
- M_tot: 0.000 μB per cell
- Mass density: 8.28 g cm⁻³
- Energy above the most stable polymorph in this dataset: 78 meV/atom

***

What is the M_tot in the third record?
0.000 μB per cell